Compound: TiNb3In
Source: Alexandria via LeMat-Bulk
Functional: GGA-PBE
Structure: relaxed

Geometry as POSCAR:
```
TiNb3In
1.0
4.7362 0.0000 0.0000
0.0000 4.7362 0.0000
0.0000 0.0000 4.7362
Ti Nb In
1 3 1
Cartesian
0.0000 0.0000 0.0000 Ti
0.0000 0.0000 2.3681 Nb
0.0000 2.3681 0.0000 Nb
2.3681 0.0000 0.0000 Nb
2.3681 2.3681 2.3681 In
```

Output
The calculation puts the excess energy over the best structure of this formula in the dataset at 0.977 eV per atom. The total magnetization is 0.00 Bohr magnetons per cell. Its space-group type is Pm-3m (221). The value obtained for the total energy is -7.19 eV per atom. The energy of formation from the pure elements is 470 kJ/mol of formula units.

---

Compound: Ti7Nb2In2
Source: Alexandria via LeMat-Bulk
Functional: GGA-PBE
Structure: relaxed

Geometry as POSCAR:
```
Ti7Nb2In2
1.0
3.5442 -3.9173 0.0000
3.5442 3.9173 0.0000
-2.0014 0.0000 7.3979
Ti Nb In
7 2 2
Cartesian
0.0000 0.0000 0.0000 Ti
0.3178 1.4363 6.0312 Ti
0.0599 0.0000 2.8117 Ti
0.3178 -1.4363 6.0312 Ti
4.7693 1.4363 1.3666 Ti
5.0272 0.0000 4.5862 Ti
4.7693 -1.4363 1.3666 Ti
2.4519 0.0000 1.0921 Nb
2.6353 0.0000 6.3057 Nb
2.5436 1.4380 3.6989 In
2.5436 -1.4380 3.6989 In
```

Output
The total magnetization is 0.00 Bohr magnetons per cell. Its space-group type is C2/m (12). The value obtained for the total energy is -7.34 eV per atom. The energy of formation from the pure elements is 15 kJ/mol of formula units.

---

Compound: Ti3Nb8In3
Source: Alexandria via LeMat-Bulk
Functional: GGA-PBE
Structure: relaxed

Geometry as POSCAR:
```
Ti3Nb8In3
1.0
-1.4482 6.4821 7.3318
1.4482 -6.4821 7.3318
1.4482 6.4821 -7.3318
Ti Nb In
3 8 3
Cartesian
0.0000 0.0000 0.0000 Ti
1.4482 2.7223 0.0000 Ti
0.0000 3.7598 7.3318 Ti
1.4482 -3.9190 4.9198 Nb
1.4482 5.0464 -2.3199 Nb
0.0000 2.5631 2.4121 Nb
0.0000 1.4357 5.0120 Nb
1.4482 5.0464 2.3199 Nb
1.4482 3.9190 4.9198 Nb
0.0000 1.4357 9.6517 Nb
0.0000 10.4011 2.4121 Nb
1.4482 0.0000 2.6785 In
0.0000 6.4821 0.0000 In
0.0000 6.4821 4.6534 In
```

Output
The total magnetization is 0.00 Bohr magnetons per cell. Its space-group type is Immm (71). The value obtained for the total energy is -7.78 eV per atom. The energy of formation from the pure elements is 340 kJ/mol of formula units.

---

Compound: Ti9Nb4In11
Source: Alexandria via LeMat-Bulk
Functional: GGA-PBE
Structure: relaxed

Geometry as POSCAR:
```
Ti9Nb4In11
1.0
7.1337 -10.8434 0.0000
7.1337 10.8434 0.0000
0.0000 0.0000 3.0090
Ti Nb In
9 4 11
Cartesian
0.0000 0.0000 0.0000 Ti
5.6622 6.2171 0.0000 Ti
5.6589 2.0741 0.0000 Ti
8.6052 6.2171 0.0000 Ti
5.6589 -2.0741 0.0000 Ti
8.6085 2.0741 0.0000 Ti
5.6622 -6.2171 0.0000 Ti
8.6085 -2.0741 0.0000 Ti
8.6052 -6.2171 0.0000 Ti
2.4736 1.7809 0.0000 Nb
2.4736 -1.7809 0.0000 Nb
11.7938 1.7809 0.0000 Nb
11.7938 -1.7809 0.0000 Nb
3.9778 3.9830 1.5045 In
7.1337 8.2951 1.5045 In
4.1965 0.0000 1.5045 In
7.1337 4.1449 1.5045 In
3.9778 -3.9830 1.5045 In
7.1337 0.0000 1.5045 In
10.2896 3.9830 1.5045 In
7.1337 -4.1449 1.5045 In
10.0709 0.0000 1.5045 In
7.1337 -8.2951 1.5045 In
10.2896 -3.9830 1.5045 In
```

Output
The total magnetization is 0.98 Bohr magnetons per cell. Its space-group type is Cmmm (65). The value obtained for the total energy is -5.89 eV per atom. The energy of formation from the pure elements is 8 kJ/mol of formula units.

---

Compound: Ti5NbIn6
Source: Alexandria via LeMat-Bulk
Functional: GGA-PBE
Structure: relaxed

Geometry as POSCAR:
```
Ti5NbIn6
1.0
-2.1133 4.3015 6.3466
2.1133 -4.3015 6.3466
2.1133 4.3015 -6.3466
Ti Nb In
5 1 6
Cartesian
0.0000 0.0000 0.0000 Ti
2.1133 0.0000 2.1314 Ti
0.0000 0.0000 4.2687 Ti
0.0000 0.0000 8.4245 Ti
0.0000 4.3015 4.2152 Ti
0.0000 4.3015 0.0000 Nb
2.1133 -2.1694 4.2219 In
2.1133 2.1146 0.0000 In
0.0000 2.1321 2.1247 In
2.1133 2.1694 4.2219 In
0.0000 2.1869 6.3466 In
0.0000 6.4709 2.1247 In
```

Output
The total magnetization is 0.00 Bohr magnetons per cell. Its space-group type is Immm (71). The value obtained for the total energy is -5.62 eV per atom. The energy of formation from the pure elements is -141 kJ/mol of formula units.

---

Compound: TiNb3In2
Source: Alexandria via LeMat-Bulk
Functional: GGA-PBE
Structure: relaxed

Geometry as POSCAR:
```
TiNb3In2
1.0
4.4727 0.0000 0.0000
0.0000 9.0629 0.0000
-2.2348 0.0000 5.6525
Ti Nb In
2 6 4
Cartesian
0.0019 0.0000 1.8692 Ti
2.2361 0.0000 3.7833 Ti
0.0000 2.1836 0.0000 Nb
0.0000 6.8792 0.0000 Nb
0.0050 2.2016 3.7111 Nb
0.0050 6.8612 3.7111 Nb
2.2330 2.2016 1.9414 Nb
2.2330 6.8612 1.9414 Nb
0.0007 4.5314 1.8648 In
2.2364 0.0000 0.0000 In
2.2364 4.5314 0.0000 In
2.2373 4.5314 3.7877 In
```

Output
The total magnetization is 0.00 Bohr magnetons per cell. Its space-group type is P2/m (10). The value obtained for the total energy is -7.25 eV per atom. The energy of formation from the pure elements is 10 kJ/mol of formula units.

---

Compound: TiNb2In
Source: Alexandria via LeMat-Bulk
Functional: GGA-PBE
Structure: relaxed

Geometry as POSCAR:
```
TiNb2In
1.0
3.4476 0.0000 0.0000
0.0000 3.4476 0.0000
0.0000 0.0000 6.2812
Ti Nb In
1 2 1
Cartesian
0.0000 0.0000 0.0000 Ti
1.7238 1.7238 1.4227 Nb
1.7238 1.7238 4.8585 Nb
0.0000 0.0000 3.1406 In
```

Output
The total magnetization is 0.00 Bohr magnetons per cell. Its space-group type is P4/mmm (123). The value obtained for the total energy is -7.67 eV per atom. The energy of formation from the pure elements is 8 kJ/mol of formula units.

---

Compound: TiNbIn
Source: Alexandria via LeMat-Bulk
Functional: GGA-PBE
Structure: relaxed

Geometry as POSCAR:
```
TiNbIn
1.0
3.0745 0.0000 0.0000
-1.5373 2.6626 0.0000
0.0000 0.0000 7.1759
Ti Nb In
1 1 1
Cartesian
0.0000 0.0000 0.0000 Ti
0.0000 1.7751 4.9424 Nb
1.5373 0.8875 2.4427 In
```

Output
The calculation puts the excess energy over the best structure of this formula in the dataset at 0.194 eV per atom. The total magnetization is 0.00 Bohr magnetons per cell. Its space-group type is P3m1 (156). The value obtained for the total energy is -6.81 eV per atom. The energy of formation from the pure elements is 27 kJ/mol of formula units.

---

Compound: Ti4Nb3In
Source: Alexandria via LeMat-Bulk
Functional: GGA-PBE
Structure: relaxed

Geometry as POSCAR:
```
Ti4Nb3In
1.0
4.6267 0.0000 0.0000
0.0000 4.6267 0.0000
0.0000 0.0000 6.6419
Ti Nb In
4 3 1
Cartesian
0.0000 2.3133 1.5710 Ti
0.0000 2.3133 5.0709 Ti
2.3133 0.0000 1.5710 Ti
2.3133 0.0000 5.0709 Ti
0.0000 0.0000 0.0000 Nb
0.0000 0.0000 3.3210 Nb
2.3133 2.3133 0.0000 Nb
2.3133 2.3133 3.3210 In
```

Output
The total magnetization is 0.00 Bohr magnetons per cell. Its space-group type is P4/mmm (123). The value obtained for the total energy is -8.11 eV per atom. The energy of formation from the pure elements is -38 kJ/mol of formula units.

---

Compound: TiNb2In
Source: Alexandria via LeMat-Bulk
Functional: GGA-PBE
Structure: relaxed

Geometry as POSCAR:
```
TiNb2In
1.0
4.0226 0.0000 0.0000
0.0000 4.0226 0.0000
0.0000 0.0000 4.5836
Ti Nb In
1 2 1
Cartesian
0.0000 0.0000 0.0000 Ti
0.0000 2.0113 2.2918 Nb
2.0113 0.0000 2.2918 Nb
2.0113 2.0113 0.0000 In
```

Output
The total magnetization is 0.00 Bohr magnetons per cell. Its space-group type is P4/mmm (123). The value obtained for the total energy is -7.75 eV per atom. The energy of formation from the pure elements is -23 kJ/mol of formula units.

---

Compound: Ti5Nb2In
Source: Alexandria via LeMat-Bulk
Functional: GGA-PBE
Structure: relaxed

Geometry as POSCAR:
```
Ti5Nb2In
1.0
-3.5823 3.5823 5.6536
3.5823 -3.5823 5.6536
3.5823 3.5823 -5.6536
Ti Nb In
10 4 2
Cartesian
0.0000 0.0000 0.0000 Ti
2.5646 -1.0177 1.8007 Ti
4.6000 -1.0177 3.8528 Ti
4.6000 1.0177 1.8007 Ti
2.5646 1.0177 3.8528 Ti
0.0000 0.0000 5.6536 Ti
1.0177 2.5646 1.8007 Ti
-1.0177 2.5646 3.8528 Ti
-1.0177 4.6000 1.8007 Ti
1.0177 4.6000 3.8528 Ti
2.4364 1.1460 0.0000 Nb
2.4364 -1.1460 5.6536 Nb
1.1460 4.7283 0.0000 Nb
1.1460 2.4364 5.6536 Nb
0.0000 0.0000 2.8268 In
0.0000 0.0000 8.4803 In
```

Output
The total magnetization is 1.33 Bohr magnetons per cell. Its space-group type is I4/mcm (140). The value obtained for the total energy is -7.72 eV per atom. The energy of formation from the pure elements is 54 kJ/mol of formula units.

---

Compound: TiNb6In3
Source: Alexandria via LeMat-Bulk
Functional: GGA-PBE
Structure: relaxed

Geometry as POSCAR:
```
TiNb6In3
1.0
5.1243 -2.6636 0.0000
5.1243 2.6636 0.0000
-2.1012 0.0000 7.1742
Ti Nb In
1 6 3
Cartesian
0.0000 0.0000 0.0000 Ti
3.0736 1.3447 1.3381 Nb
0.7586 0.0000 3.0784 Nb
5.0738 1.3447 5.8361 Nb
3.0736 -1.3447 1.3381 Nb
7.3888 0.0000 4.0958 Nb
5.0738 -1.3447 5.8361 Nb
2.4178 0.0000 5.8691 In
4.0737 0.0000 3.5871 In
5.7296 0.0000 1.3051 In
```

Output
The total magnetization is 0.00 Bohr magnetons per cell. Its space-group type is C2/m (12). The value obtained for the total energy is -7.43 eV per atom. The energy of formation from the pure elements is 220 kJ/mol of formula units.